1.
# Er5Pa3H12

Crystalline Er5Pa3H12 at its relaxed geometry (PBE-GGA, Alexandria via LeMat-Bulk).

Properties
The value obtained for the electronic total energy is -4.94 eV per atom. The density of states at the Fermi level is 14.91 states/eV/f.u.

Geometry as CIF:
```
data_Er5Pa3H12
_symmetry_space_group_name_H-M 'I a -3 d'
_symmetry_Int_Tables_number 230
_symmetry_space_group_name_Hall '-I 4bd 2c 3'
_cell_length_a 12.850
_cell_length_b 12.850
_cell_length_c 12.850
_cell_angle_alpha 90.00
_cell_angle_beta 90.00
_cell_angle_gamma 90.00
loop_
_atom_site_label
_atom_site_type_symbol
_atom_site_fract_x
_atom_site_fract_y
_atom_site_fract_z
_atom_site_occupancy
Er1 Er 0.000 0.000 0.000 1
Er2 Er 0.000 0.250 0.375 1
Pa1 Pa 0.000 0.250 0.125 1
H1 H 0.002 0.074 0.654 1
```

2.
# ErPaH2

Crystalline ErPaH2 at its relaxed geometry (PBE-GGA, Alexandria via LeMat-Bulk).

Properties
The value obtained for the electronic total energy is -5.43 eV per atom. The density of states at the Fermi level is 4.87 states/eV/f.u.

Geometry as CIF:
```
data_ErPaH2
_symmetry_space_group_name_H-M 'R -3 m'
_symmetry_Int_Tables_number 166
_symmetry_space_group_name_Hall '-R 3 2"'
_cell_length_a 3.4006
_cell_length_b 3.4006
_cell_length_c 17.3778
_cell_angle_alpha 90.00
_cell_angle_beta 90.00
_cell_angle_gamma 120.00
loop_
_atom_site_label
_atom_site_type_symbol
_atom_site_fract_x
_atom_site_fract_y
_atom_site_fract_z
_atom_site_occupancy
Er1 Er 0.0000 0.0000 0.0000 1
Pa1 Pa 0.0000 0.0000 0.5000 1
H1 H 0.0000 0.0000 0.2495 1
```

3.
# Er6HPb2

Crystalline Er6HPb2 at its relaxed geometry (PBE-GGA, Alexandria via LeMat-Bulk).

Properties
The value obtained for the electronic total energy is -4.50 eV per atom. The density of states at the Fermi level is 9.79 states/eV/f.u.

Geometry as CIF:
```
data_Er6HPb2
_symmetry_space_group_name_H-M 'P 1 21/c 1'
_symmetry_Int_Tables_number 14
_cell_length_a 6.606
_cell_length_b 7.298
_cell_length_c 11.835
_cell_angle_alpha 90.00
_cell_angle_beta 122.98
_cell_angle_gamma 90.00
loop_
_symmetry_equiv_pos_as_xyz
'x,y,z'
'-x,-y,-z'
'-x,y+1/2,-z+1/2'
'x,-y+1/2,z+1/2'
loop_
_atom_site_label
_atom_site_type_symbol
_atom_site_fract_x
_atom_site_fract_y
_atom_site_fract_z
_atom_site_occupancy
Er1 Er 0.067 0.222 0.463 1
Er2 Er 0.353 0.701 0.463 1
Er3 Er 0.412 0.015 0.260 1
H1 H 0.500 0.000 0.500 1
Pb1 Pb 0.133 0.114 0.744 1
```

4.
# Er3HPb

Crystalline Er3HPb at its relaxed geometry (PBE-GGA, Alexandria via LeMat-Bulk).

Properties
Its energy relative to the lowest polymorph listed for this composition is 75 meV/atom. The density of states at the Fermi level is 4.34 states/eV/f.u.

Geometry as CIF:
```
data_Er3HPb
_symmetry_space_group_name_H-M 'P 1 21/m 1'
_symmetry_Int_Tables_number 11
_cell_length_a 6.560
_cell_length_b 3.552
_cell_length_c 10.344
_cell_angle_alpha 90.00
_cell_angle_beta 99.18
_cell_angle_gamma 90.00
loop_
_symmetry_equiv_pos_as_xyz
'x,y,z'
'-x,-y,-z'
'-x,y+1/2,-z'
'x,-y+1/2,z'
loop_
_atom_site_label
_atom_site_type_symbol
_atom_site_fract_x
_atom_site_fract_y
_atom_site_fract_z
_atom_site_occupancy
Er1 Er 0.083 0.250 0.368 1
Er2 Er 0.226 0.250 0.896 1
Er3 Er 0.400 0.750 0.634 1
H1 H 0.173 0.250 0.673 1
Pb1 Pb 0.289 0.750 0.157 1
```

5.
# Er5HPb2

Crystalline Er5HPb2 at its relaxed geometry (PBE-GGA, Alexandria via LeMat-Bulk).

Properties
The value obtained for the electronic total energy is -4.43 eV per atom. The density of states at the Fermi level is 9.51 states/eV/f.u.

Geometry as CIF:
```
data_Er5HPb2
_symmetry_space_group_name_H-M 'I 4 m m'
_symmetry_Int_Tables_number 107
_symmetry_space_group_name_Hall 'I 4 -2'
_cell_length_a 6.895
_cell_length_b 6.895
_cell_length_c 8.946
_cell_angle_alpha 90.00
_cell_angle_beta 90.00
_cell_angle_gamma 90.00
loop_
_atom_site_label
_atom_site_type_symbol
_atom_site_fract_x
_atom_site_fract_y
_atom_site_fract_z
_atom_site_occupancy
Er1 Er 0.000 0.000 0.000 1
Er2 Er 0.249 0.249 0.254 1
H1 H 0.000 0.000 0.753 1
Pb1 Pb 0.000 0.500 0.004 1
```

6.
# Er3HPb

Crystalline Er3HPb at its relaxed geometry (PBE-GGA, Alexandria via LeMat-Bulk).

Properties
Its energy relative to the lowest polymorph listed for this composition is 0 meV/atom. The density of states at the Fermi level is 2.34 states/eV/f.u.

Geometry as CIF:
```
data_Er3HPb
_symmetry_space_group_name_H-M 'C 1 c 1'
_symmetry_Int_Tables_number 9
_cell_length_a 6.514
_cell_length_b 11.149
_cell_length_c 6.625
_cell_angle_alpha 90.00
_cell_angle_beta 100.57
_cell_angle_gamma 90.00
loop_
_symmetry_equiv_pos_as_xyz
'x,y,z'
'x,-y,z+1/2'
'x+1/2,y+1/2,z'
'x+1/2,-y+1/2,z+1/2'
loop_
_atom_site_label
_atom_site_type_symbol
_atom_site_fract_x
_atom_site_fract_y
_atom_site_fract_z
_atom_site_occupancy
Er1 Er 0.000 0.030 0.000 1
Er2 Er 0.029 0.464 0.163 1
Er3 Er 0.244 0.265 0.811 1
H1 H 0.201 0.441 0.921 1
Pb1 Pb 0.252 0.207 0.324 1
```

7.
# Er5H2Pb5

Crystalline Er5H2Pb5 at its relaxed geometry (PBE-GGA, Alexandria via LeMat-Bulk).

Properties
The value obtained for the electronic total energy is -4.43 eV per atom. The density of states at the Fermi level is 5.50 states/eV/f.u.

Geometry as CIF:
```
data_Er5H2Pb5
_symmetry_space_group_name_H-M 'C 1 2/m 1'
_symmetry_Int_Tables_number 12
_cell_length_a 11.443
_cell_length_b 4.367
_cell_length_c 11.490
_cell_angle_alpha 90.00
_cell_angle_beta 92.29
_cell_angle_gamma 90.00
loop_
_symmetry_equiv_pos_as_xyz
'x,y,z'
'-x,-y,-z'
'-x,y,-z'
'x,-y,z'
'x+1/2,y+1/2,z'
'-x+1/2,-y+1/2,-z'
'-x+1/2,y+1/2,-z'
'x+1/2,-y+1/2,z'
loop_
_atom_site_label
_atom_site_type_symbol
_atom_site_fract_x
_atom_site_fract_y
_atom_site_fract_z
_atom_site_occupancy
Er1 Er 0.000 0.000 0.000 1
Er2 Er 0.066 0.000 0.313 1
Er3 Er 0.149 0.500 0.815 1
H1 H 0.074 0.000 0.826 1
Pb1 Pb 0.000 0.500 0.500 1
Pb2 Pb 0.152 0.500 0.118 1
Pb3 Pb 0.221 0.000 0.611 1
```

8.
# Er3HPb

Crystalline Er3HPb at its relaxed geometry (PBE-GGA, Alexandria via LeMat-Bulk).

Properties
Its energy relative to the lowest polymorph listed for this composition is 62 meV/atom. The density of states at the Fermi level is 4.97 states/eV/f.u.

Geometry as CIF:
```
data_Er3HPb
_symmetry_space_group_name_H-M 'P m -3 m'
_symmetry_Int_Tables_number 221
_symmetry_space_group_name_Hall '-P 4 2 3'
_cell_length_a 4.804
_cell_length_b 4.804
_cell_length_c 4.804
_cell_angle_alpha 90.00
_cell_angle_beta 90.00
_cell_angle_gamma 90.00
loop_
_atom_site_label
_atom_site_type_symbol
_atom_site_fract_x
_atom_site_fract_y
_atom_site_fract_z
_atom_site_occupancy
Er1 Er 0.000 0.000 0.500 1
H1 H 0.000 0.000 0.000 1
Pb1 Pb 0.500 0.500 0.500 1
```

9.
# Er3H2Pb2

Crystalline Er3H2Pb2 at its relaxed geometry (PBE-GGA, Alexandria via LeMat-Bulk).

Properties
Its energy relative to the lowest polymorph listed for this composition is 0 meV/atom. The density of states at the Fermi level is 3.45 states/eV/f.u.

Geometry as CIF:
```
data_Er3H2Pb2
_symmetry_space_group_name_H-M 'P 1 21/c 1'
_symmetry_Int_Tables_number 14
_cell_length_a 6.073
_cell_length_b 9.164
_cell_length_c 6.547
_cell_angle_alpha 90.00
_cell_angle_beta 122.14
_cell_angle_gamma 90.00
loop_
_symmetry_equiv_pos_as_xyz
'x,y,z'
'-x,-y,-z'
'-x,y+1/2,-z+1/2'
'x,-y+1/2,z+1/2'
loop_
_atom_site_label
_atom_site_type_symbol
_atom_site_fract_x
_atom_site_fract_y
_atom_site_fract_z
_atom_site_occupancy
Er1 Er 0.000 0.000 0.000 1
Er2 Er 0.328 0.079 0.628 1
H1 H 0.362 0.063 0.317 1
Pb1 Pb 0.212 0.728 0.326 1
```

10.
# ErH2Pb

Crystalline ErH2Pb at its relaxed geometry (PBE-GGA, Alexandria via LeMat-Bulk).

Properties
The value obtained for the electronic total energy is -4.16 eV per atom. The density of states at the Fermi level is 0.59 states/eV/f.u.

Geometry as CIF:
```
data_ErH2Pb
_symmetry_space_group_name_H-M 'R -3 m'
_symmetry_Int_Tables_number 166
_symmetry_space_group_name_Hall '-R 3 2"'
_cell_length_a 3.5813
_cell_length_b 3.5813
_cell_length_c 17.2137
_cell_angle_alpha 90.00
_cell_angle_beta 90.00
_cell_angle_gamma 120.00
loop_
_atom_site_label
_atom_site_type_symbol
_atom_site_fract_x
_atom_site_fract_y
_atom_site_fract_z
_atom_site_occupancy
Er1 Er 0.0000 0.0000 0.0000 1
H1 H 0.0000 0.0000 0.3056 1
Pb1 Pb 0.0000 0.0000 0.5000 1
```

11.
# Er4H2Pb3

Crystalline Er4H2Pb3 at its relaxed geometry (PBE-GGA, Alexandria via LeMat-Bulk).

Properties
The value obtained for the electronic total energy is -4.50 eV per atom. The density of states at the Fermi level is 4.77 states/eV/f.u.

Geometry as CIF:
```
data_Er4H2Pb3
_symmetry_space_group_name_H-M 'C 1 2/c 1'
_symmetry_Int_Tables_number 15
_cell_length_a 13.437
_cell_length_b 9.580
_cell_length_c 6.503
_cell_angle_alpha 90.00
_cell_angle_beta 103.81
_cell_angle_gamma 90.00
loop_
_symmetry_equiv_pos_as_xyz
'x,y,z'
'-x,-y,-z'
'-x,y,-z+1/2'
'x,-y,z+1/2'
'x+1/2,y+1/2,z'
'-x+1/2,-y+1/2,-z'
'-x+1/2,y+1/2,-z+1/2'
'x+1/2,-y+1/2,z+1/2'
loop_
_atom_site_label
_atom_site_type_symbol
_atom_site_fract_x
_atom_site_fract_y
_atom_site_fract_z
_atom_site_occupancy
Er1 Er 0.114 0.231 0.033 1
Er2 Er 0.196 0.423 0.593 1
H1 H 0.227 0.367 0.933 1
Pb1 Pb 0.000 0.490 0.250 1
Pb2 Pb 0.110 0.109 0.563 1
```

12.
# Er3H2Pb3

Crystalline Er3H2Pb3 at its relaxed geometry (PBE-GGA, Alexandria via LeMat-Bulk).

Properties
The value obtained for the electronic total energy is -4.34 eV per atom. The density of states at the Fermi level is 4.63 states/eV/f.u.

Geometry as CIF:
```
data_Er3H2Pb3
_symmetry_space_group_name_H-M 'C m c m'
_symmetry_Int_Tables_number 63
_symmetry_space_group_name_Hall '-C 2c 2'
_cell_length_a 3.701
_cell_length_b 11.832
_cell_length_c 16.273
_cell_angle_alpha 90.00
_cell_angle_beta 90.00
_cell_angle_gamma 90.00
loop_
_atom_site_label
_atom_site_type_symbol
_atom_site_fract_x
_atom_site_fract_y
_atom_site_fract_z
_atom_site_occupancy
Er1 Er 0.000 0.147 0.056 1
Er2 Er 0.000 0.196 0.750 1
H1 H 0.000 0.274 0.537 1
Pb1 Pb 0.000 0.079 0.250 1
Pb2 Pb 0.000 0.428 0.113 1
```